#i
# AlBS3 | Alexandria | GGA-PBE | relaxed
# Mass density (g cm⁻³): 3.0
# Volume (Å³ per atom): 14.63
data_AlBS3
_chemical_formula_sum 'Al1 B1 S3'
_cell_length_a 4.183
_cell_length_b 4.183
_cell_length_c 4.183
_cell_angle_alpha 90.00
_cell_angle_beta 90.00
_cell_angle_gamma 90.00
_space_group_name_H-M_alt 'P m -3 m'
_space_group_IT_number 221
_space_group_name_Hall '-P 4 2 3'
loop_
_atom_site_label
_atom_site_fract_x
_atom_site_fract_y
_atom_site_fract_z
Al1 0.000 0.000 0.000
B1 0.500 0.500 0.500
S1 0.000 0.500 0.500

#ii
# AlBS3 | Alexandria | GGA-PBE | relaxed
# Mass density (g cm⁻³): 2.3
# Volume (Å³ per atom): 19.53
data_AlBS3
_chemical_formula_sum 'Al1 B1 S3'
_cell_length_a 4.605
_cell_length_b 4.605
_cell_length_c 4.605
_cell_angle_alpha 90.00
_cell_angle_beta 90.00
_cell_angle_gamma 90.00
_space_group_name_H-M_alt 'P m -3 m'
_space_group_IT_number 221
_space_group_name_Hall '-P 4 2 3'
loop_
_atom_site_label
_atom_site_fract_x
_atom_site_fract_y
_atom_site_fract_z
Al1 0.000 0.000 0.000
B1 0.500 0.500 0.500
S1 0.000 0.000 0.500

Least stable: #ii

#i
# AlBSb2 | Alexandria | GGA-PBE | relaxed
# Mass density (g cm⁻³): 5.9
# Volume (Å³ per atom): 19.93
data_AlBSb2
_chemical_formula_sum 'Al4 B4 Sb8'
_cell_length_a 6.832
_cell_length_b 6.832
_cell_length_c 6.832
_cell_angle_alpha 90.00
_cell_angle_beta 90.00
_cell_angle_gamma 90.00
_space_group_name_H-M_alt 'F m -3 m'
_space_group_IT_number 225
_space_group_name_Hall '-F 4 2 3'
loop_
_atom_site_label
_atom_site_fract_x
_atom_site_fract_y
_atom_site_fract_z
Al1 0.000 0.000 0.000
B1 0.000 0.000 0.500
Sb1 0.250 0.250 0.250

#ii
# AlBSb2 | Alexandria | GGA-PBE | relaxed
# Mass density (g cm⁻³): 4.9
# Volume (Å³ per atom): 23.79
data_AlBSb2
_chemical_formula_sum 'Al4 B4 Sb8'
_cell_length_a 5.824
_cell_length_b 5.824
_cell_length_c 11.222
_cell_angle_alpha 90.00
_cell_angle_beta 90.00
_cell_angle_gamma 90.00
_space_group_name_H-M_alt 'I -4 2 d'
_space_group_IT_number 122
_space_group_name_Hall 'I -4 2bw'
loop_
_atom_site_label
_atom_site_fract_x
_atom_site_fract_y
_atom_site_fract_z
Al1 0.000 0.000 0.000
B1 0.000 0.000 0.500
Sb1 0.198 0.250 0.625

Least stable: #i

#i
# AlBSb3 | Alexandria | GGA-PBE | relaxed
# Mass density (g cm⁻³): 4.6
# Volume (Å³ per atom): 28.86
data_AlBSb3
_chemical_formula_sum 'Al1 B1 Sb3'
_cell_length_a 5.245
_cell_length_b 5.245
_cell_length_c 5.245
_cell_angle_alpha 90.00
_cell_angle_beta 90.00
_cell_angle_gamma 90.00
_space_group_name_H-M_alt 'P m -3 m'
_space_group_IT_number 221
_space_group_name_Hall '-P 4 2 3'
loop_
_atom_site_label
_atom_site_fract_x
_atom_site_fract_y
_atom_site_fract_z
Al1 0.000 0.000 0.000
B1 0.500 0.500 0.500
Sb1 0.000 0.000 0.500

#ii
# AlBSb3 | Alexandria | GGA-PBE | relaxed
# Mass density (g cm⁻³): 5.8
# Volume (Å³ per atom): 22.92
data_AlBSb3
_chemical_formula_sum 'Al1 B1 Sb3'
_cell_length_a 4.857
_cell_length_b 4.857
_cell_length_c 4.857
_cell_angle_alpha 90.00
_cell_angle_beta 90.00
_cell_angle_gamma 90.00
_space_group_name_H-M_alt 'P m -3 m'
_space_group_IT_number 221
_space_group_name_Hall '-P 4 2 3'
loop_
_atom_site_label
_atom_site_fract_x
_atom_site_fract_y
_atom_site_fract_z
Al1 0.000 0.000 0.000
B1 0.500 0.500 0.500
Sb1 0.000 0.500 0.500

Least stable: #i

#i
# AlB2Sb | Alexandria | GGA-PBE | relaxed
# Mass density (g cm⁻³): 5.1
# Volume (Å³ per atom): 13.93
data_AlB2Sb
_chemical_formula_sum 'Al4 B8 Sb4'
_cell_length_a 6.063
_cell_length_b 6.063
_cell_length_c 6.063
_cell_angle_alpha 90.00
_cell_angle_beta 90.00
_cell_angle_gamma 90.00
_space_group_name_H-M_alt 'F m -3 m'
_space_group_IT_number 225
_space_group_name_Hall '-F 4 2 3'
loop_
_atom_site_label
_atom_site_fract_x
_atom_site_fract_y
_atom_site_fract_z
Al1 0.000 0.000 0.000
B1 0.250 0.250 0.250
Sb1 0.000 0.000 0.500

#ii
# AlB2Sb | Alexandria | GGA-PBE | relaxed
# Mass density (g cm⁻³): 4.2
# Volume (Å³ per atom): 16.92
data_AlB2Sb
_chemical_formula_sum 'Al4 B8 Sb4'
_cell_length_a 5.258
_cell_length_b 5.258
_cell_length_c 9.796
_cell_angle_alpha 90.00
_cell_angle_beta 90.00
_cell_angle_gamma 90.00
_space_group_name_H-M_alt 'I -4 2 d'
_space_group_IT_number 122
_space_group_name_Hall 'I -4 2bw'
loop_
_atom_site_label
_atom_site_fract_x
_atom_site_fract_y
_atom_site_fract_z
Al1 0.000 0.000 0.000
B1 0.240 0.250 0.125
Sb1 0.000 0.000 0.500

Least stable: #i